Record 1
# CdInHg2 | Alexandria | PBE | relaxed
# Formation energy in eV per atom: 0.036
# D(E_F) in states/eV/cell: 2.737
# Crystal system: orthorhombic
# Volume in A^3/atom: 25.98
data_CdInHg2
_chemical_formula_sum 'Cd2 In2 Hg4'
_symmetry_space_group_name_H-M 'C m m 2'
_symmetry_Int_Tables_number 35
_symmetry_space_group_name_Hall 'C 2 -2'
_cell_length_a 3.391
_cell_length_b 5.774
_cell_length_c 10.616
_cell_angle_alpha 90.00
_cell_angle_beta 90.00
_cell_angle_gamma 90.00
loop_
_atom_site_label
_atom_site_fract_x
_atom_site_fract_y
_atom_site_fract_z
_atom_site_occupancy
Cd1 0.000 0.000 0.000 1
In1 0.000 0.500 0.748 1
Hg1 0.000 0.000 0.492 1
Hg2 0.000 0.500 0.242 1

Record 2
# AsSeO4 | Alexandria | PBE | relaxed
# Formation energy without anion corrections in eV/atom: -0.686
# D(E_F) in states/eV/cell: 1.905
# Crystal system: orthorhombic
# Volume in A^3/atom: 13.73
# Energy above the lowest structure with this stoichiometry in eV per formula unit: 0.14
data_AsSeO4
_chemical_formula_sum 'As2 Se2 O8'
_symmetry_space_group_name_H-M 'P n c 2'
_symmetry_Int_Tables_number 30
_symmetry_space_group_name_Hall 'P 2 -2bc'
_cell_length_a 4.826
_cell_length_b 4.608
_cell_length_c 7.409
_cell_angle_alpha 90.00
_cell_angle_beta 90.00
_cell_angle_gamma 90.00
loop_
_atom_site_label
_atom_site_fract_x
_atom_site_fract_y
_atom_site_fract_z
_atom_site_occupancy
As1 0.000 0.000 0.000 1
Se1 0.500 0.000 0.398 1
O1 0.179 0.229 0.853 1
O2 0.322 0.717 0.055 1

Record 3
# AlVTeI2 | Alexandria | PBE | relaxed
# Formation energy without anion corrections in eV/atom: 0.112
# D(E_F) in states/eV/cell: 2.071
# Crystal system: tetragonal
# Volume in A^3/atom: 33.86
# Energy above the lowest structure with this stoichiometry in eV per formula unit: 0.00
data_AlVTeI2
_chemical_formula_sum 'Al1 V1 Te1 I2'
_symmetry_space_group_name_H-M 'P 4/m m m'
_symmetry_Int_Tables_number 123
_symmetry_space_group_name_Hall '-P 4 2'
_cell_length_a 5.707
_cell_length_b 5.707
_cell_length_c 5.198
_cell_angle_alpha 90.00
_cell_angle_beta 90.00
_cell_angle_gamma 90.00
loop_
_atom_site_label
_atom_site_fract_x
_atom_site_fract_y
_atom_site_fract_z
_atom_site_occupancy
Al1 0.000 0.000 0.000 1
V1 0.500 0.500 0.500 1
Te1 0.500 0.500 0.000 1
I1 0.000 0.500 0.500 1

Record 4
# La4TcSeBr2 | Alexandria | PBE | relaxed
# Formation energy without anion corrections in eV/atom: -1.170
# D(E_F) in states/eV/cell: 5.324
# Crystal system: monoclinic
# Volume in A^3/atom: 30.69
data_La4TcSeBr2
_chemical_formula_sum 'La4 Tc1 Se1 Br2'
_symmetry_space_group_name_H-M 'P 1 2/m 1'
_symmetry_Int_Tables_number 10
_symmetry_space_group_name_Hall '-P 2y'
_cell_length_a 7.666
_cell_length_b 4.209
_cell_length_c 7.905
_cell_angle_alpha 90.00
_cell_angle_beta 105.72
_cell_angle_gamma 90.00
loop_
_atom_site_label
_atom_site_fract_x
_atom_site_fract_y
_atom_site_fract_z
_atom_site_occupancy
La1 0.218 0.000 0.207 1
La2 0.236 0.500 0.797 1
Tc1 0.000 0.500 0.000 1
Se1 0.500 0.000 0.000 1
Br1 0.000 0.000 0.500 1
Br2 0.500 0.500 0.500 1

Record 5
# La8Pt5Au | Alexandria | PBE | relaxed
# Formation energy in eV per atom: -0.984
# D(E_F) in states/eV/cell: 29.381
# Crystal system: tetragonal
# Volume in A^3/atom: 27.82
data_La8Pt5Au
_chemical_formula_sum 'La16 Pt10 Au2'
_symmetry_space_group_name_H-M 'I -4'
_symmetry_Int_Tables_number 82
_symmetry_space_group_name_Hall 'I -4'
_cell_length_a 9.249
_cell_length_b 9.249
_cell_length_c 9.106
_cell_angle_alpha 90.00
_cell_angle_beta 90.00
_cell_angle_gamma 90.00
loop_
_atom_site_label
_atom_site_fract_x
_atom_site_fract_y
_atom_site_fract_z
_atom_site_occupancy
La1 0.060 0.182 0.319 1
La2 0.060 0.304 0.931 1
Pt1 0.000 0.000 0.000 1
Pt2 0.131 0.251 0.623 1
Au1 0.000 0.500 0.250 1

Record 6
# TcPAu2 | Alexandria | PBE | relaxed
# Formation energy in eV per atom: 0.277
# D(E_F) in states/eV/cell: 6.167
# Crystal system: orthorhombic
# Volume in A^3/atom: 16.80
data_TcPAu2
_chemical_formula_sum 'Tc2 P2 Au4'
_symmetry_space_group_name_H-M 'I m m 2'
_symmetry_Int_Tables_number 44
_symmetry_space_group_name_Hall 'I 2 -2'
_cell_length_a 3.054
_cell_length_b 4.428
_cell_length_c 9.934
_cell_angle_alpha 90.00
_cell_angle_beta 90.00
_cell_angle_gamma 90.00
loop_
_atom_site_label
_atom_site_fract_x
_atom_site_fract_y
_atom_site_fract_z
_atom_site_occupancy
Tc1 0.000 0.000 0.000 1
P1 0.000 0.500 0.327 1
Au1 0.000 0.000 0.569 1
Au2 0.000 0.500 0.772 1

Total magnetic moment for the records above, in order: 0.000, 0.000, 1.998, 0.000, 0.000, 0.000 μB/cell